Record 1
# PBE Pm5Hg2Ir, relaxed
# Spin magnetization (μB per formula unit): 0.000
# Calculated total energy (eV per atom): -4.622
# Calculated formation energy (eV per atom): -0.470
data_Pm5Hg2Ir
_cell_length_a 7.733
_cell_length_b 12.257
_cell_length_c 4.876
_cell_angle_alpha 90.00
_cell_angle_beta 90.00
_cell_angle_gamma 90.00
_symmetry_space_group_name_H-M 'P b a m'
_symmetry_Int_Tables_number 55
_symmetry_space_group_name_Hall '-P 2 2ab'
loop_
_atom_site_label
_atom_site_fract_x
_atom_site_fract_y
_atom_site_fract_z
_atom_site_occupancy
Pm1 0.000 0.000 0.000 1
Pm2 0.145 0.295 0.000 1
Pm3 0.179 0.579 0.500 1
Hg1 0.073 0.835 0.500 1
Ir1 0.000 0.500 0.000 1

Record 2
# PBE TlInTe2O8, relaxed
# Spin magnetization (μB per formula unit): 0.000
# Calculated total energy (eV per atom): -5.191
# Formation energy (no corrections) (kJ per mole of atoms): -90.4
data_TlInTe2O8
_cell_length_a 5.3776
_cell_length_b 5.3776
_cell_length_c 26.8826
_cell_angle_alpha 90.00
_cell_angle_beta 90.00
_cell_angle_gamma 120.00
_symmetry_space_group_name_H-M 'R -3'
_symmetry_Int_Tables_number 148
_symmetry_space_group_name_Hall '-R 3'
loop_
_atom_site_label
_atom_site_fract_x
_atom_site_fract_y
_atom_site_fract_z
_atom_site_occupancy
Tl1 0.0000 0.0000 0.0000 1
In1 0.0000 0.0000 0.5000 1
Te1 0.0000 0.0000 0.2371 1
O1 0.0000 0.0000 0.3050 1
O2 0.0018 0.3500 0.1183 1

calculated total energy of number 2 (TlInTe2O8)?
-5.191 eV per atom

Which value of spin magnetization does entry 2 give?
0.000 μB per formula unit

Please write out number 1 again, unchanged.
# PBE Pm5Hg2Ir, relaxed
# Spin magnetization (μB per formula unit): 0.000
# Calculated total energy (eV per atom): -4.622
# Calculated formation energy (eV per atom): -0.470
data_Pm5Hg2Ir
_cell_length_a 7.733
_cell_length_b 12.257
_cell_length_c 4.876
_cell_angle_alpha 90.00
_cell_angle_beta 90.00
_cell_angle_gamma 90.00
_symmetry_space_group_name_H-M 'P b a m'
_symmetry_Int_Tables_number 55
_symmetry_space_group_name_Hall '-P 2 2ab'
loop_
_atom_site_label
_atom_site_fract_x
_atom_site_fract_y
_atom_site_fract_z
_atom_site_occupancy
Pm1 0.000 0.000 0.000 1
Pm2 0.145 0.295 0.000 1
Pm3 0.179 0.579 0.500 1
Hg1 0.073 0.835 0.500 1
Ir1 0.000 0.500 0.000 1